Entry from Alexandria via LeMat-Bulk: a relaxed Na3Nb6O11 crystal (GGA-PBEsol).

Summary:
formation energy (no corrections) = -2.174 eV per atom

Unit cell a=6.0588 b=6.0588 c=8.1690 alpha=90.00 beta=90.00 gamma=120.00
Atoms (fractional coordinates):
1 Na 0.0000 0.0000 0.0000
2 Na 0.3333 0.6667 0.0675
3 Na 0.6667 0.3333 0.9325
4 Nb 0.1595 0.3189 0.6486
5 Nb 0.1595 0.8405 0.6486
6 Nb 0.3189 0.1595 0.3514
7 Nb 0.6811 0.8405 0.6486
8 Nb 0.8405 0.1595 0.3514
9 Nb 0.8405 0.6811 0.3514
10 O 0.0000 0.5000 0.5000
11 O 0.1544 0.3088 0.2122
12 O 0.1544 0.8456 0.2122
13 O 0.3088 0.1544 0.7878
14 O 0.3333 0.6667 0.7904
15 O 0.5000 0.0000 0.5000
16 O 0.5000 0.5000 0.5000
17 O 0.6667 0.3333 0.2096
18 O 0.6912 0.8456 0.2122
19 O 0.8456 0.1544 0.7878
20 O 0.8456 0.6912 0.7878

---

Entry from Alexandria via LeMat-Bulk: a relaxed NaNb14O36 crystal (GGA-PBEsol).

Summary:
formation energy (no corrections) = -2.458 eV per atom

Unit cell a=15.1929 b=15.1929 c=15.1929 alpha=165.38 beta=123.34 gamma=58.85
Atoms (fractional coordinates):
1 Na 0.0000 0.0000 0.0000
2 Nb 0.0155 0.3964 0.6191
3 Nb 0.0995 0.2927 0.8068
4 Nb 0.1894 0.1894 0.0000
5 Nb 0.2227 0.6036 0.6191
6 Nb 0.3141 0.5000 0.8141
7 Nb 0.3949 0.3949 0.0000
8 Nb 0.4859 0.2927 0.1932
9 Nb 0.5141 0.7073 0.8068
10 Nb 0.6051 0.6051 0.0000
11 Nb 0.6859 0.5000 0.1859
12 Nb 0.7773 0.3964 0.3809
13 Nb 0.8106 0.8106 0.0000
14 Nb 0.9005 0.7073 0.1932
15 Nb 0.9845 0.6036 0.3809
16 O 0.0235 0.1196 0.9039
17 O 0.0445 0.3386 0.7059
18 O 0.0636 0.5636 0.5000
19 O 0.0655 0.7745 0.2910
20 O 0.1359 0.2330 0.9029
21 O 0.1482 0.4486 0.6995
22 O 0.1660 0.6660 0.5000
23 O 0.2157 0.1196 0.0961
24 O 0.2405 0.3388 0.9017
25 O 0.2509 0.5514 0.6995
26 O 0.2972 0.0000 0.2972
27 O 0.3301 0.2330 0.0971
28 O 0.3461 0.4456 0.9005
29 O 0.3673 0.6614 0.7059
30 O 0.3907 0.8907 0.5000
31 O 0.4372 0.3388 0.0983
32 O 0.4550 0.5544 0.9005
33 O 0.4835 0.7745 0.7090
34 O 0.5165 0.2255 0.2910
35 O 0.5450 0.4456 0.0995
36 O 0.5628 0.6612 0.9017
37 O 0.6093 0.1093 0.5000
38 O 0.6327 0.3386 0.2941
39 O 0.6539 0.5544 0.0995
40 O 0.6699 0.7670 0.9029
41 O 0.7028 0.0000 0.7028
42 O 0.7491 0.4486 0.3005
43 O 0.7595 0.6612 0.0983
44 O 0.7843 0.8804 0.9039
45 O 0.8340 0.3340 0.5000
46 O 0.8518 0.5514 0.3005
47 O 0.8641 0.7670 0.0971
48 O 0.9345 0.2255 0.7090
49 O 0.9364 0.4364 0.5000
50 O 0.9555 0.6614 0.2941
51 O 0.9765 0.8804 0.0961

---

Entry from Alexandria via LeMat-Bulk: a relaxed NaNb10O18 crystal (GGA-PBEsol).

Summary:
formation energy (no corrections) = -2.376 eV per atom

Unit cell a=7.8480 b=9.4077 c=10.2946 alpha=90.00 beta=110.26 gamma=90.00
Atoms (fractional coordinates):
1 Na 0.0000 0.0000 0.0000
2 Na 0.0000 0.5000 0.5000
3 Nb 0.0038 0.1167 0.6689
4 Nb 0.0038 0.3833 0.1689
5 Nb 0.1818 0.6295 0.1232
6 Nb 0.1818 0.8705 0.6232
7 Nb 0.1975 0.1263 0.4802
8 Nb 0.1975 0.3737 0.9802
9 Nb 0.3969 0.1146 0.2711
10 Nb 0.3969 0.3854 0.7711
11 Nb 0.3976 0.6284 0.4378
12 Nb 0.3976 0.8716 0.9378
13 Nb 0.6024 0.1284 0.0622
14 Nb 0.6024 0.3716 0.5622
15 Nb 0.6031 0.6146 0.2289
16 Nb 0.6031 0.8854 0.7289
17 Nb 0.8025 0.6263 0.0198
18 Nb 0.8025 0.8737 0.5198
19 Nb 0.8182 0.1295 0.3768
20 Nb 0.8182 0.3705 0.8768
21 Nb 0.9962 0.6167 0.8311
22 Nb 0.9962 0.8833 0.3311
23 O 0.0091 0.2403 0.8473
24 O 0.0091 0.2597 0.3473
25 O 0.1972 0.0054 0.3012
26 O 0.1972 0.4946 0.8012
27 O 0.1971 0.7478 0.4606
28 O 0.1971 0.7522 0.9606
29 O 0.2003 0.5106 0.3041
30 O 0.2003 0.9894 0.8041
31 O 0.2029 0.2472 0.1455
32 O 0.2029 0.2528 0.6455
33 O 0.3943 0.0061 0.0989
34 O 0.3943 0.4939 0.5989
35 O 0.4003 0.5023 0.1058
36 O 0.4003 0.9977 0.6058
37 O 0.4098 0.7383 0.2722
38 O 0.4098 0.7617 0.7722
39 O 0.4158 0.2450 0.4327
40 O 0.4158 0.2550 0.9327
41 O 0.5842 0.7450 0.0673
42 O 0.5842 0.7550 0.5673
43 O 0.5902 0.2383 0.2278
44 O 0.5902 0.2617 0.7278
45 O 0.5997 0.0023 0.3942
46 O 0.5997 0.4977 0.8942
47 O 0.6057 0.5061 0.4011
48 O 0.6057 0.9939 0.9011
49 O 0.7971 0.7472 0.3545
50 O 0.7971 0.7528 0.8545
51 O 0.7997 0.0106 0.1959
52 O 0.7997 0.4894 0.6959
53 O 0.8029 0.2478 0.0394
54 O 0.8029 0.2522 0.5394
55 O 0.8028 0.5054 0.1988
56 O 0.8028 0.9946 0.6988
57 O 0.9910 0.7403 0.6527
58 O 0.9910 0.7597 0.1527

---

Entry from Alexandria via LeMat-Bulk: a relaxed NaNb2O4 crystal (GGA-PBEsol).

Summary:
formation energy (no corrections) = -2.229 eV per atom
relative energy among the computed polymorphs = 103 meV per atom

Unit cell a=2.9806 b=2.9806 c=10.6912 alpha=90.00 beta=90.00 gamma=120.00
Atoms (fractional coordinates):
1 Na 0.0000 0.0000 0.0000
2 Nb 0.3333 0.6667 0.7286
3 Nb 0.6667 0.3333 0.2714
4 O 0.3333 0.6667 0.1481
5 O 0.3333 0.6667 0.3781
6 O 0.6667 0.3333 0.6219
7 O 0.6667 0.3333 0.8519

---

Entry from Alexandria via LeMat-Bulk: a relaxed NaNb6O16 crystal (GGA-PBEsol).

Summary:
formation energy (no corrections) = -2.399 eV per atom

Unit cell a=3.8922 b=9.0835 c=9.0835 alpha=70.13 beta=90.00 gamma=90.00
Atoms (fractional coordinates):
1 Na 0.0000 0.0000 0.0000
2 Nb 0.5000 0.0242 0.6614
3 Nb 0.5000 0.1880 0.1880
4 Nb 0.5000 0.4028 0.4028
5 Nb 0.5000 0.4036 0.7733
6 Nb 0.5000 0.6614 0.0242
7 Nb 0.5000 0.7733 0.4036
8 O 0.0000 0.0366 0.6908
9 O 0.0000 0.1737 0.1737
10 O 0.0000 0.3988 0.3988
11 O 0.0000 0.4068 0.7586
12 O 0.0000 0.6908 0.0366
13 O 0.0000 0.7586 0.4068
14 O 0.5000 0.1652 0.4126
15 O 0.5000 0.2205 0.9557
16 O 0.5000 0.2539 0.6371
17 O 0.5000 0.4126 0.1652
18 O 0.5000 0.5413 0.5413
19 O 0.5000 0.5662 0.8671
20 O 0.5000 0.6371 0.2539
21 O 0.5000 0.8671 0.5662
22 O 0.5000 0.8840 0.8840
23 O 0.5000 0.9557 0.2205

---

Entry from Alexandria via LeMat-Bulk: a relaxed NaNb2O4 crystal (GGA-PBEsol).

Summary:
formation energy (no corrections) = -2.332 eV per atom
relative energy among the computed polymorphs = 0 meV per atom

Unit cell a=5.1056 b=12.0957 c=5.8998 alpha=90.00 beta=90.00 gamma=90.00
Atoms (fractional coordinates):
1 Na 0.1925 0.0036 0.2500
2 Na 0.1925 0.4964 0.7500
3 Na 0.8075 0.5036 0.2500
4 Na 0.8075 0.9964 0.7500
5 Nb 0.1589 0.7473 0.2500
6 Nb 0.1589 0.7527 0.7500
7 Nb 0.3437 0.2500 0.0000
8 Nb 0.3437 0.2500 0.5000
9 Nb 0.6563 0.7500 0.0000
10 Nb 0.6563 0.7500 0.5000
11 Nb 0.8411 0.2473 0.2500
12 Nb 0.8411 0.2527 0.7500
13 O 0.0087 0.1468 0.5026
14 O 0.0087 0.1468 0.9974
15 O 0.0087 0.3532 0.0026
16 O 0.0087 0.3532 0.4974
17 O 0.4874 0.6494 0.7500
18 O 0.4874 0.8506 0.2500
19 O 0.4949 0.6472 0.2500
20 O 0.4949 0.8528 0.7500
21 O 0.5051 0.1472 0.2500
22 O 0.5051 0.3528 0.7500
23 O 0.5126 0.1494 0.7500
24 O 0.5126 0.3506 0.2500
25 O 0.9913 0.6468 0.5026
26 O 0.9913 0.6468 0.9974
27 O 0.9913 0.8532 0.0026
28 O 0.9913 0.8532 0.4974